## AlAg (SCAN)

Data for AlAg at its PBEsol-relaxed geometry.

Geometry as CIF:
```
data_AlAg
_chemical_formula_sum 'Al4 Ag4'
_cell_length_a 2.870
_cell_length_b 2.870
_cell_length_c 15.677
_cell_angle_alpha 90.00
_cell_angle_beta 90.00
_cell_angle_gamma 90.00
_space_group_name_H-M_alt 'P 4 m m'
_space_group_IT_number 99
loop_
_space_group_symop_operation_xyz
'x,y,z'
'-y,x,z'
'-x,-y,z'
'y,-x,z'
'-x,y,z'
'y,x,z'
'x,-y,z'
'-y,-x,z'
loop_
_atom_site_label
_atom_site_type_symbol
_atom_site_fract_x
_atom_site_fract_y
_atom_site_fract_z
Al1 Al 0.000 0.000 0.000
Al2 Al 0.000 0.000 0.247
Al3 Al 0.000 0.000 0.498
Al4 Al 0.500 0.500 0.625
Ag1 Ag 0.000 0.000 0.746
Ag2 Ag 0.500 0.500 0.122
Ag3 Ag 0.500 0.500 0.371
Ag4 Ag 0.500 0.500 0.881
```

Values from the calculation:
The total magnetic moment comes out at 0.0 Bohr magnetons per cell. The calculation puts the energy of formation at -53.7 meV per atom.



## Al3Ag5 (SCAN)

Data for Al3Ag5 at its PBEsol-relaxed geometry.

Geometry as CIF:
```
data_Al3Ag5
_chemical_formula_sum 'Al12 Ag20'
_cell_length_a 5.967
_cell_length_b 7.758
_cell_length_c 11.156
_cell_angle_alpha 90.00
_cell_angle_beta 90.00
_cell_angle_gamma 90.00
_space_group_name_H-M_alt 'F m m 2'
_space_group_IT_number 42
_space_group_name_Hall 'F 2 -2'
loop_
_atom_site_label
_atom_site_type_symbol
_atom_site_fract_x
_atom_site_fract_y
_atom_site_fract_z
Al1 Al 0.000 0.000 0.000
Al2 Al 0.250 0.250 0.363
Ag1 Ag 0.000 0.000 0.241
Ag2 Ag 0.000 0.000 0.488
Ag3 Ag 0.000 0.000 0.754
Ag4 Ag 0.250 0.250 0.112
```

Values from the calculation:
The total magnetic moment comes out at 0.0 Bohr magnetons per cell. For the distance to the lowest polymorph of the same formula, the calculation gives 2.1 kJ per mole of atoms. The calculation puts the energy of formation at -90.8 meV per atom.



## Al2Ag5 (SCAN)

Data for Al2Ag5 at its PBEsol-relaxed geometry.

Geometry as CIF:
```
data_Al2Ag5
_chemical_formula_sum 'Al4 Ag10'
_cell_length_a 2.932
_cell_length_b 2.932
_cell_length_c 26.259
_cell_angle_alpha 90.00
_cell_angle_beta 90.00
_cell_angle_gamma 90.00
_space_group_name_H-M_alt 'I 4/m m m'
_space_group_IT_number 139
_space_group_name_Hall '-I 4 2'
loop_
_atom_site_label
_atom_site_type_symbol
_atom_site_fract_x
_atom_site_fract_y
_atom_site_fract_z
Al1 Al 0.000 0.000 0.143
Ag1 Ag 0.000 0.000 0.000
Ag2 Ag 0.000 0.000 0.289
Ag3 Ag 0.000 0.000 0.424
```

Values from the calculation:
The total magnetic moment comes out at 0.0 Bohr magnetons per cell. For the distance to the lowest polymorph of the same formula, the calculation gives 0.5 kJ per mole of atoms. The calculation puts the energy of formation at -91.7 meV per atom.



## Al3Ag5 (SCAN)

Data for Al3Ag5 at its PBEsol-relaxed geometry.

Geometry as CIF:
```
data_Al3Ag5
_chemical_formula_sum 'Al6 Ag10'
_cell_length_a 12.102
_cell_length_b 2.918
_cell_length_c 9.332
_cell_angle_alpha 90.00
_cell_angle_beta 128.47
_cell_angle_gamma 90.00
_space_group_name_H-M_alt 'C 1 m 1'
_space_group_IT_number 8
loop_
_space_group_symop_operation_xyz
'x,y,z'
'x,-y,z'
'x+1/2,y+1/2,z'
'x+1/2,-y+1/2,z'
loop_
_atom_site_label
_atom_site_type_symbol
_atom_site_fract_x
_atom_site_fract_y
_atom_site_fract_z
Al1 Al 0.000 0.000 0.000
Al2 Al 0.128 0.000 0.382
Al3 Al 0.371 0.000 0.128
Ag1 Ag 0.008 0.500 0.498
Ag2 Ag 0.124 0.500 0.880
Ag3 Ag 0.243 0.500 0.248
Ag4 Ag 0.261 0.000 0.768
Ag5 Ag 0.371 0.500 0.620
```

Values from the calculation:
The total magnetic moment comes out at 0.0 Bohr magnetons per cell. For the distance to the lowest polymorph of the same formula, the calculation gives 3.0 kJ per mole of atoms. The calculation puts the energy of formation at -81.6 meV per atom.



## Al3Ag2 (SCAN)

Data for Al3Ag2 at its PBEsol-relaxed geometry.

Geometry as CIF:
```
data_Al3Ag2
_chemical_formula_sum 'Al9 Ag6'
_cell_length_a 2.9324
_cell_length_b 2.9324
_cell_length_c 32.6374
_cell_angle_alpha 90.00
_cell_angle_beta 90.00
_cell_angle_gamma 120.00
_space_group_name_H-M_alt 'R -3 m'
_space_group_IT_number 166
_space_group_name_Hall '-R 3 2"'
loop_
_atom_site_label
_atom_site_type_symbol
_atom_site_fract_x
_atom_site_fract_y
_atom_site_fract_z
Al1 Al 0.0000 0.0000 0.0000
Al2 Al 0.0000 0.0000 0.2005
Ag1 Ag 0.0000 0.0000 0.4001
```

Values from the calculation:
The total magnetic moment comes out at 0.0 Bohr magnetons per cell. For the distance to the lowest polymorph of the same formula, the calculation gives 0.0 kJ per mole of atoms. The calculation puts the energy of formation at -84.8 meV per atom.



## Al3Ag (SCAN)

Data for Al3Ag at its PBEsol-relaxed geometry.

Geometry as CIF:
```
data_Al3Ag
_chemical_formula_sum 'Al6 Ag2'
_cell_length_a 5.621
_cell_length_b 2.882
_cell_length_c 8.420
_cell_angle_alpha 90.00
_cell_angle_beta 108.16
_cell_angle_gamma 90.00
_space_group_name_H-M_alt 'P 1 21/m 1'
_space_group_IT_number 11
loop_
_space_group_symop_operation_xyz
'x,y,z'
'-x,-y,-z'
'-x,y+1/2,-z'
'x,-y+1/2,z'
loop_
_atom_site_label
_atom_site_type_symbol
_atom_site_fract_x
_atom_site_fract_y
_atom_site_fract_z
Al1 Al 0.061 0.250 0.371
Al2 Al 0.304 0.250 0.880
Al3 Al 0.432 0.750 0.626
Ag1 Ag 0.201 0.750 0.129
```

Values from the calculation:
The total magnetic moment comes out at 0.0 Bohr magnetons per cell. The calculation puts the energy of formation at -46.5 meV per atom.



## Al7Ag5 (SCAN)

Data for Al7Ag5 at its PBEsol-relaxed geometry.

Geometry as CIF:
```
data_Al7Ag5
_chemical_formula_sum 'Al7 Ag5'
_cell_length_a 5.715
_cell_length_b 3.919
_cell_length_c 9.119
_cell_angle_alpha 90.00
_cell_angle_beta 108.22
_cell_angle_gamma 90.00
_space_group_name_H-M_alt 'P 1 m 1'
_space_group_IT_number 6
loop_
_space_group_symop_operation_xyz
'x,y,z'
'x,-y,z'
loop_
_atom_site_label
_atom_site_type_symbol
_atom_site_fract_x
_atom_site_fract_y
_atom_site_fract_z
Al1 Al 0.000 0.000 0.000
Al2 Al 0.010 0.500 0.488
Al3 Al 0.176 0.500 0.827
Al4 Al 0.341 0.000 0.665
Al5 Al 0.353 0.500 0.168
Al6 Al 0.514 0.500 0.498
Al7 Al 0.852 0.000 0.662
Ag1 Ag 0.188 0.000 0.340
Ag2 Ag 0.488 0.000 0.993
Ag3 Ag 0.679 0.000 0.337
Ag4 Ag 0.681 0.500 0.818
Ag5 Ag 0.851 0.500 0.158
```

Values from the calculation:
The total magnetic moment comes out at 0.0 Bohr magnetons per cell. For the distance to the lowest polymorph of the same formula, the calculation gives 1.3 kJ per mole of atoms. The calculation puts the energy of formation at -59.3 meV per atom.



## AlAg8 (SCAN)

Data for AlAg8 at its PBEsol-relaxed geometry.

Geometry as CIF:
```
data_AlAg8
_chemical_formula_sum 'Al2 Ag16'
_cell_length_a 8.577
_cell_length_b 8.577
_cell_length_c 4.009
_cell_angle_alpha 90.00
_cell_angle_beta 90.00
_cell_angle_gamma 90.00
_space_group_name_H-M_alt 'I 4/m m m'
_space_group_IT_number 139
_space_group_name_Hall '-I 4 2'
loop_
_atom_site_label
_atom_site_type_symbol
_atom_site_fract_x
_atom_site_fract_y
_atom_site_fract_z
Al1 Al 0.000 0.000 0.000
Ag1 Ag 0.000 0.331 0.000
Ag2 Ag 0.164 0.164 0.500
```

Values from the calculation:
The total magnetic moment comes out at 0.0 Bohr magnetons per cell. The calculation puts the energy of formation at -37.1 meV per atom.